Computed, not measured: an optimized crystal structure of ZrMn2Hg at the PBE level of DFT.

Cell: 6.6159 6.6159 6.6159 Å, 90.00 90.00 90.00°
Positions (direct):
Zr1 0.0000 0.0000 0.0000
Zr2 0.0000 0.5000 0.5000
Zr3 0.5000 0.0000 0.5000
Zr4 0.5000 0.5000 0.0000
Mn1 0.0000 0.0000 0.5000
Mn2 0.0000 0.5000 0.0000
Mn3 0.2500 0.2500 0.2500
Mn4 0.2500 0.7500 0.7500
Mn5 0.5000 0.0000 0.0000
Mn6 0.5000 0.5000 0.5000
Mn7 0.7500 0.2500 0.7500
Mn8 0.7500 0.7500 0.2500
Hg1 0.2500 0.2500 0.7500
Hg2 0.2500 0.7500 0.2500
Hg3 0.7500 0.2500 0.2500
Hg4 0.7500 0.7500 0.7500

E_form = 0.28 eV per atom
Calculated density = 9214 kg/m³
Symmetry = F-43m



Computed, not measured: an optimized crystal structure of ZrMnHg at the PBE level of DFT.

Cell: 4.6393 4.6393 3.1763 Å, 90.00 90.00 120.00°
Positions (direct):
Zr1 0.0000 0.0000 0.0000
Mn1 0.3333 0.6667 0.5000
Hg1 0.6667 0.3333 0.5000

E_form = 0.13 eV per atom
Calculated density = 9726 kg/m³
Symmetry = P-6m2
Energy above the most stable polymorph in this dataset = 0.090 eV/atom



Computed, not measured: an optimized crystal structure of ZrMnHg at the PBE level of DFT.

Cell: 3.1543 3.1543 7.0061 Å, 90.00 90.00 120.00°
Positions (direct):
Zr1 0.0000 0.0000 0.0000
Mn1 0.6667 0.3333 0.6864
Hg1 0.3333 0.6667 0.3653

E_form = 0.19 eV per atom
Calculated density = 9538 kg/m³
Symmetry = P3m1
Energy above the most stable polymorph in this dataset = 0.153 eV/atom



Computed, not measured: an optimized crystal structure of Zr6MnHg3 at the PBE level of DFT.

Cell: 6.0202 6.0202 7.2235 Å, 102.94 102.94 61.92°
Positions (direct):
Zr1 0.1293 0.6300 0.6581
Zr2 0.1473 0.1473 0.8700
Zr3 0.3700 0.8707 0.3419
Zr4 0.6300 0.1293 0.6581
Zr5 0.8527 0.8527 0.1300
Zr6 0.8707 0.3700 0.3419
Mn1 0.0000 0.0000 0.5000
Hg1 0.3479 0.3479 0.2771
Hg2 0.5000 0.5000 0.0000
Hg3 0.6521 0.6521 0.7229

E_form = 0.13 eV per atom
Calculated density = 8967 kg/m³
Symmetry = C2/m



Computed, not measured: an optimized crystal structure of ZrMnHg3 at the PBE level of DFT.

Cell: 4.9630 4.9630 4.9630 Å, 90.00 90.00 90.00°
Positions (direct):
Zr1 0.0000 0.0000 0.0000
Mn1 0.5000 0.5000 0.5000
Hg1 0.0000 0.5000 0.5000
Hg2 0.5000 0.0000 0.5000
Hg3 0.5000 0.5000 0.0000

E_form = 0.68 eV per atom
Calculated density = 10160 kg/m³
Symmetry = Pm-3m
Energy above the most stable polymorph in this dataset = 0.000 eV/atom



Computed, not measured: an optimized crystal structure of ZrMn2Hg at the PBE level of DFT.

Cell: 4.2820 4.2820 3.6278 Å, 90.00 90.00 90.00°
Positions (direct):
Zr1 0.0000 0.0000 0.0000
Mn1 0.0000 0.5000 0.5000
Mn2 0.5000 0.0000 0.5000
Hg1 0.5000 0.5000 0.0000

E_form = 0.15 eV per atom
Calculated density = 10028 kg/m³
Symmetry = P4/mmm



Computed, not measured: an optimized crystal structure of Zr6MnHg2 at the PBE level of DFT.

Cell: 8.1351 8.1351 3.3552 Å, 90.00 90.00 120.00°
Positions (direct):
Zr1 0.0000 0.3779 0.0000
Zr2 0.0000 0.7572 0.5000
Zr3 0.2428 0.2428 0.5000
Zr4 0.3779 0.0000 0.0000
Zr5 0.6221 0.6221 0.0000
Zr6 0.7572 0.0000 0.5000
Mn1 0.0000 0.0000 0.0000
Hg1 0.3333 0.6667 0.5000
Hg2 0.6667 0.3333 0.5000

E_form = -0.12 eV per atom
Calculated density = 8664 kg/m³
Symmetry = P-62m



Computed, not measured: an optimized crystal structure of ZrMn2Hg at the PBE level of DFT.

Cell: 4.1536 4.1536 8.0633 Å, 90.00 90.00 90.00°
Positions (direct):
Zr1 0.0000 0.0000 0.0000
Zr2 0.5000 0.5000 0.5000
Mn1 0.0000 0.5000 0.2500
Mn2 0.0000 0.5000 0.7500
Mn3 0.5000 0.0000 0.2500
Mn4 0.5000 0.0000 0.7500
Hg1 0.0000 0.0000 0.5000
Hg2 0.5000 0.5000 0.0000

E_form = 0.16 eV per atom
Calculated density = 9590 kg/m³
Symmetry = I4/mmm